Entry from Alexandria: crystalline PaCrPt2O8 at its relaxed geometry (GGA+U). Values from VASP.

Values from the calculation:
Space group: I-4m2 (119)
Spin magnetization in μB/cell: 3.04
DOS at the Fermi energy in states/eV/atom: 0.093
Electronic total energy in eV for the cell shown: -83.65

Geometry as Quantum ESPRESSO input:
```
&SYSTEM
  ibrav = 0, nat = 12, ntyp = 4
/
ATOMIC_SPECIES
Pa 231.04 Pa.upf
Cr 52.00 Cr.upf
Pt 195.08 Pt.upf
O 16.00 O.upf
ATOMIC_POSITIONS crystal
Pa 0.0000 0.0000 0.0000
Cr 0.7500 0.2500 0.5000
Pt 0.2500 0.7500 0.5000
Pt 0.5000 0.5000 0.0000
O 0.0318 0.3594 0.3276
O 0.0318 0.7042 0.6724
O 0.0978 0.2823 0.8155
O 0.2958 0.9682 0.3276
O 0.4668 0.2823 0.1845
O 0.6406 0.9682 0.6724
O 0.7177 0.5332 0.8155
O 0.7177 0.9022 0.1845
CELL_PARAMETERS angstrom
-3.3562 3.3562 3.5292
3.3562 -3.3562 3.5292
3.3562 3.3562 -3.5292
```